Compound: Te3MoIr
Source: Alexandria
Functional: PBE
Structure: relaxed Values from VASP.

```
&SYSTEM
  ibrav = 0, nat = 5, ntyp = 3
/
ATOMIC_SPECIES
Te 127.60 Te.upf
Ir 192.22 Ir.upf
Mo 95.94 Mo.upf
ATOMIC_POSITIONS angstrom
Te 2.170 0.161 1.382
Te -1.388 0.063 2.171
Ir 0.883 -2.348 3.693
Mo 0.000 0.000 0.000
Te 0.101 -2.572 0.140
CELL_PARAMETERS angstrom
-2.776 0.126 4.342
0.203 -5.144 0.280
4.339 0.322 2.765
```

Values from the calculation:
**Volume**: 27.40 A^3/atom
**Formation energy (no corrections)**: 1.25 eV per atom
**Distance to the lowest polymorph of the same formula**: 164.6 meV per atom